Below is a relaxed TaBe2Os crystal, with properties calculated at the PBE-GGA level.

Cell lengths 4.4435, 4.4435, 4.4435 Å; angles 128.82, 128.82, 75.31 degrees
Fractional coordinates of all 4 atoms:
Ta (0.0000, 0.0000, 0.0000)
Be (0.2500, 0.7500, 0.5000)
Be (0.5000, 0.5000, 0.0000)
Os (0.7500, 0.2500, 0.5000)

Values from the calculation:
ΔE to the lowest computed polymorph, kJ/mol of formula units: 94
Space-group type: I-4m2 (119)
Energy of formation from the pure elements, eV/atom: -0.057